A relaxed ZnSnAu14 crystal, computed with PBE.

a b c (Å): 5.9542 5.9542 8.2200
angles (deg): 90.00 90.00 90.00
Fractional coordinates of all 16 atoms:
Zn 0.0000 0.0000 0.0000
Sn 0.5000 0.5000 0.0000
Au 0.0000 0.0000 0.5000
Au 0.0000 0.5000 0.0000
Au 0.0000 0.5000 0.5000
Au 0.2453 0.2453 0.2490
Au 0.2453 0.2453 0.7510
Au 0.2453 0.7547 0.2490
Au 0.2453 0.7547 0.7510
Au 0.5000 0.0000 0.0000
Au 0.5000 0.0000 0.5000
Au 0.5000 0.5000 0.5000
Au 0.7547 0.2453 0.2490
Au 0.7547 0.2453 0.7510
Au 0.7547 0.7547 0.2490
Au 0.7547 0.7547 0.7510

Summary:
The value obtained for the formation enthalpy at 0 K is -22.8 meV per atom. As for the final energy: -3.22 eV/atom. The space-group type is No. 123.